No. 1
Pm3UO8: relaxed, PBE.

Values from the calculation:
- Magnetization: 0.00 μB/atom
- Space group: Pm-3m (221)
- Energy: -103.6 eV/cell
- V: 13.771 Å³ per atom
- Formation energy from raw total energies: -3200 meV/atom

abc: 5.488 5.488 5.488
angles: 90.00 90.00 90.00
Fractional positions:
Pm 0.000 0.000 0.500
Pm 0.000 0.500 0.000
Pm 0.500 0.000 0.000
U 0.500 0.500 0.500
O 0.264 0.264 0.264
O 0.264 0.264 0.736
O 0.264 0.736 0.264
O 0.264 0.736 0.736
O 0.736 0.264 0.264
O 0.736 0.264 0.736
O 0.736 0.736 0.264
O 0.736 0.736 0.736

=====

No. 2
VInHgOs2: relaxed, PBE.

Values from the calculation:
- Magnetization: 0.11 μB/atom
- Space group: P4/mmm (123)
- Energy of formation: 2.3880 eV per atom
- Energy: -22.7 eV/cell
- V: 24.559 Å³ per atom

abc: 4.931 4.931 5.051
angles: 90.00 90.00 90.00
Fractional positions:
V 0.000 0.000 0.000
In 0.500 0.500 0.500
Hg 0.500 0.500 0.000
Os 0.000 0.500 0.500
Os 0.500 0.000 0.500

=====

> Among the records above, which one has the highest magnetization?

VInHgOs2